DFT (GGA-PBE) results for a relaxed YZrOsPd crystal.

Summary:
Density (g/cm3): 10.20
Energy relative to the elements (eV/f.u.): -2.064
Total moment (μB/f.u.): 0.00

Unit cell a=4.788 b=4.788 c=4.788 alpha=60.00 beta=60.00 gamma=60.00
Element x y z (fractional)
Y 0.000 0.000 0.000
Zr 0.500 0.500 0.500
Os 0.250 0.250 0.250
Pd 0.750 0.750 0.750